No. 1
Here is a relaxed PmScZnHg crystal from Alexandria via LeMat-Bulk. Energies are from PBE.

Lattice parameters (Å, degrees): 3.526 3.526 7.398 90.00 90.00 90.00
Fractional coordinates of all 4 atoms:
Zn: 0.000 0.000 0.390
Pm: 0.500 0.500 0.124
Hg: 0.000 0.000 0.824
Sc: 0.500 0.500 0.590

**Uncorrected energy**: -14.22 eV/f.u.
**Density of states at the Fermi level**: 3.45 states/eV per cell



No. 2
Here is a relaxed BaPr2Tm crystal from Alexandria via LeMat-Bulk. Energies are from PBE.

Lattice parameters (Å, degrees): 3.790 3.790 10.830 90.00 90.00 90.00
Fractional coordinates of all 4 atoms:
Pr: 0.000 0.000 0.215
Pr: 0.000 0.000 0.785
Tm: 0.500 0.500 0.000
Ba: 0.500 0.500 0.500

**Uncorrected energy**: -15.52 eV/f.u.
**Density of states at the Fermi level**: 5.35 states/eV per cell



No. 3
Here is a relaxed CaPm2PuBi4 crystal from Alexandria via LeMat-Bulk. Energies are from PBE.

Lattice parameters (Å, degrees): 4.585 7.908 7.937 109.30 90.00 90.00
Last column: magnetic moment on the atom in μB.
Fractional coordinates of all 8 atoms:
Bi: 0.000 0.754 0.249  -0.08
Bi: 0.500 0.754 0.753  -0.10
Bi: 0.500 0.246 0.247  -0.10
Bi: 0.000 0.246 0.751  -0.08
Ca: 0.500 0.500 0.000  -0.02
Pm: 0.000 0.500 0.500  -0.07
Pm: 0.500 0.000 0.500  -0.02
Pu: 0.000 0.000 0.000  5.23

**Uncorrected energy**: -46.99 eV/f.u.
**Density of states at the Fermi level**: 17.97 states/eV per cell



No. 4
Here is a relaxed Pu2SiOs2 crystal from Alexandria via LeMat-Bulk. Energies are from PBE.

Lattice parameters (Å, degrees): 5.539 5.539 6.200 78.00 78.00 69.72
Fractional coordinates of all 10 atoms:
Os: 0.762 0.933 0.503
Os: 0.933 0.762 0.003
Os: 0.238 0.067 0.497
Os: 0.067 0.238 0.997
Pu: 0.473 0.330 0.154
Pu: 0.670 0.527 0.346
Pu: 0.527 0.670 0.846
Pu: 0.330 0.473 0.654
Si: 0.832 0.168 0.750
Si: 0.168 0.832 0.250

**Uncorrected energy**: -55.91 eV/f.u.
**Density of states at the Fermi level**: 14.55 states/eV per cell
**ΔE_f (raw)**: 0.127 eV per atom



No. 5
Here is a relaxed Mg2NiI crystal from Alexandria via LeMat-Bulk. Energies are from PBE.

Lattice parameters (Å, degrees): 4.945 4.945 4.945 60.00 60.00 60.00
Fractional coordinates of all 4 atoms:
Mg: 0.250 0.250 0.250
Mg: 0.750 0.750 0.750
Ni: 0.000 0.000 0.000
I: 0.500 0.500 0.500

**Uncorrected energy**: -9.20 eV/f.u.
**Density of states at the Fermi level**: 1.60 states/eV per cell
**ΔE_f (raw)**: 0.330 eV per atom



No. 6
Here is a relaxed TiAl2Mo crystal from Alexandria via LeMat-Bulk. Energies are from PBE.

Lattice parameters (Å, degrees): 3.512 4.210 5.049 114.64 110.35 90.00
Fractional coordinates of all 4 atoms:
Al: 0.998 0.998 0.995
Al: 0.249 0.749 0.497
Ti: 0.756 0.256 0.513
Mo: 0.498 0.498 0.995

**Uncorrected energy**: -27.33 eV/f.u.
**Density of states at the Fermi level**: 3.08 states/eV per cell